Entry 1:
MgIn2AgBr5 | Alexandria via LeMat-Bulk | PBE | relaxed; DOS at the Fermi energy = 0.00 states/eV/cell; total DFT energy (no corrections) = -51.7 eV per cell; raw formation energy = -0.84 eV/atom
1.0
2.065 -9.981 0.000
2.065 9.981 0.000
0.000 0.000 13.947
Mg In Ag Br
2 4 2 10
Cartesian
2.065 5.611 6.974 Mg
2.065 -5.611 0.000 Mg
2.065 7.730 2.129 In
2.065 7.486 10.895 In
2.065 -7.486 3.921 In
2.065 -7.730 9.103 In
2.065 1.300 12.708 Ag
2.065 -1.300 5.734 Ag
2.065 8.275 7.444 Br
2.065 4.545 1.848 Br
2.065 4.143 12.141 Br
2.065 2.931 6.732 Br
2.065 0.089 3.548 Br
2.065 -0.089 10.522 Br
2.065 -2.931 13.706 Br
2.065 -4.143 5.167 Br
2.065 -4.545 8.822 Br
2.065 -8.275 0.470 Br



Entry 2:
SmYInAu | Alexandria via LeMat-Bulk | PBE | relaxed; DOS at the Fermi energy = 14.99 states/eV/cell; total DFT energy (no corrections) = -78.5 eV per cell; ΔH_f (0 K) = -0.608 eV per atom; offset from the most stable computed form = 58 meV per atom
1.0
7.472 0.000 0.000
0.000 7.472 0.000
0.000 0.000 7.472
Sm Y In Au
4 4 4 4
Cartesian
0.000 0.000 0.000 Sm
0.000 3.736 3.736 Sm
3.736 0.000 3.736 Sm
3.736 3.736 0.000 Sm
0.000 0.000 3.736 Y
0.000 3.736 0.000 Y
3.736 0.000 0.000 Y
3.736 3.736 3.736 Y
1.868 1.868 5.604 In
1.868 5.604 1.868 In
5.604 1.868 1.868 In
5.604 5.604 5.604 In
1.868 1.868 1.868 Au
1.868 5.604 5.604 Au
5.604 1.868 5.604 Au
5.604 5.604 1.868 Au



Entry 3:
ScTcPb2 | Alexandria via LeMat-Bulk | PBE | relaxed; DOS at the Fermi energy = 3.10 states/eV/cell; total DFT energy (no corrections) = -23.2 eV per cell; ΔH_f (0 K) = 0.238 eV per atom; offset from the most stable computed form = 164 meV per atom
1.0
3.655 0.000 0.000
0.000 4.598 0.000
0.000 0.000 5.187
Sc Tc Pb
1 1 2
Cartesian
0.000 0.000 0.000 Sc
1.828 0.000 2.594 Tc
0.000 2.299 2.594 Pb
1.828 2.299 0.000 Pb



Entry 4:
Ta2BeAlCu | Alexandria via LeMat-Bulk | PBE | relaxed; DOS at the Fermi energy = 4.37 states/eV/cell; total DFT energy (no corrections) = -28.4 eV per cell; ΔH_f (0 K) = 1.372 eV per atom
1.0
4.742 0.000 0.000
0.000 4.742 0.000
0.000 0.000 3.989
Ta Be Al Cu
2 1 1 1
Cartesian
0.000 2.371 0.000 Ta
2.371 0.000 0.000 Ta
0.000 0.000 1.994 Be
0.000 0.000 0.000 Al
2.371 2.371 1.994 Cu



Entry 5:
AgPdCl6 | Alexandria via LeMat-Bulk | PBE | relaxed; DOS at the Fermi energy = 7.99 states/eV/cell; total DFT energy (no corrections) = -21.2 eV per cell; raw formation energy = -0.26 eV/atom; offset from the most stable computed form = 23 meV per atom
1.0
6.017 0.000 0.000
2.947 5.662 0.000
0.068 3.082 5.670
Ag Pd Cl
1 1 6
Cartesian
0.000 0.000 0.000 Ag
3.042 1.541 2.835 Pd
1.140 1.722 1.421 Cl
2.086 3.244 4.180 Cl
4.041 3.244 1.576 Cl
4.991 5.500 4.094 Cl
6.945 5.500 1.490 Cl
7.891 7.023 4.249 Cl



Entry 6:
ReNiRu | Alexandria via LeMat-Bulk | PBE | relaxed; DOS at the Fermi energy = 2.76 states/eV/cell; total DFT energy (no corrections) = -27.2 eV per cell; ΔH_f (0 K) = 0.087 eV per atom; offset from the most stable computed form = 99 meV per atom
1.0
2.703 0.000 0.000
-1.352 2.341 0.000
0.000 0.000 6.444
Re Ni Ru
1 1 1
Cartesian
0.000 0.000 0.000 Re
0.000 1.561 4.307 Ni
1.352 0.780 2.141 Ru